Entry 1:
# SrPtW2 PBE optimized geometry
# DFT total energy   -7.653 eV per atom
# V   18.9 Å³ per atom
# Crystal system   monoclinic
data_SrPtW2
_cell_length_a 5.549
_cell_length_b 10.503
_cell_length_c 2.775
_cell_angle_alpha 90.00
_cell_angle_beta 110.63
_cell_angle_gamma 90.00
_space_group_name_H-M_alt 'C 1 2/m 1'
_space_group_IT_number 12
_space_group_name_Hall '-C 2y'
loop_
_atom_site_label
_atom_site_fract_x
_atom_site_fract_y
_atom_site_fract_z
Sr1 0.000 0.000 0.000
Pt1 0.000 0.500 0.000
W1 0.250 0.250 0.500

Entry 2:
# PmHgGe PBE optimized geometry
# DFT total energy   -3.537 eV per atom
# V   26.8 Å³ per atom
# Crystal system   tetragonal
data_PmHgGe
_cell_length_a 4.051
_cell_length_b 4.051
_cell_length_c 19.568
_cell_angle_alpha 90.00
_cell_angle_beta 90.00
_cell_angle_gamma 90.00
_space_group_name_H-M_alt 'I 4/m m m'
_space_group_IT_number 139
_space_group_name_Hall '-I 4 2'
loop_
_atom_site_label
_atom_site_fract_x
_atom_site_fract_y
_atom_site_fract_z
Pm1 0.000 0.000 0.117
Hg1 0.000 0.000 0.285
Ge1 0.000 0.000 0.435

Entry 3:
# Tm5InN6 PBE optimized geometry
# Raw formation energy   -1.473 eV/atom
# V   13.8 Å³ per atom
# Crystal system   monoclinic
data_Tm5InN6
_cell_length_a 5.882
_cell_length_b 10.174
_cell_length_c 5.879
_cell_angle_alpha 90.00
_cell_angle_beta 109.56
_cell_angle_gamma 90.00
_space_group_name_H-M_alt 'C 1 2/m 1'
_space_group_IT_number 12
_space_group_name_Hall '-C 2y'
loop_
_atom_site_label
_atom_site_fract_x
_atom_site_fract_y
_atom_site_fract_z
Tm1 0.000 0.000 0.000
Tm2 0.000 0.167 0.500
Tm3 0.000 0.334 0.000
In1 0.000 0.500 0.500
N1 0.244 0.000 0.757
N2 0.246 0.170 0.247

Entry 4:
# ZrHg2 PBE optimized geometry
# DFT total energy   -3.140 eV per atom
# V   22.0 Å³ per atom
# Crystal system   tetragonal
data_ZrHg2
_cell_length_a 3.250
_cell_length_b 3.250
_cell_length_c 12.468
_cell_angle_alpha 90.00
_cell_angle_beta 90.00
_cell_angle_gamma 90.00
_space_group_name_H-M_alt 'I 4/m m m'
_space_group_IT_number 139
_space_group_name_Hall '-I 4 2'
loop_
_atom_site_label
_atom_site_fract_x
_atom_site_fract_y
_atom_site_fract_z
Zr1 0.000 0.000 0.000
Hg1 0.000 0.000 0.337

Entry 5:
# MgPtCl2 PBE optimized geometry
# Raw formation energy   -0.197 eV/atom
# V   18.1 Å³ per atom
# Crystal system   cubic
data_MgPtCl2
_cell_length_a 6.614
_cell_length_b 6.614
_cell_length_c 6.614
_cell_angle_alpha 90.00
_cell_angle_beta 90.00
_cell_angle_gamma 90.00
_space_group_name_H-M_alt 'F m -3 m'
_space_group_IT_number 225
_space_group_name_Hall '-F 4 2 3'
loop_
_atom_site_label
_atom_site_fract_x
_atom_site_fract_y
_atom_site_fract_z
Mg1 0.000 0.000 0.000
Pt1 0.000 0.000 0.500
Cl1 0.250 0.250 0.250

Entry 6:
# Mn2AlFe6 PBE optimized geometry
# DFT total energy   -8.040 eV per atom
# V   11.7 Å³ per atom
# Crystal system   monoclinic
data_Mn2AlFe6
_cell_length_a 4.462
_cell_length_b 12.552
_cell_length_c 4.198
_cell_angle_alpha 90.00
_cell_angle_beta 116.41
_cell_angle_gamma 90.00
_space_group_name_H-M_alt 'C 1 2/m 1'
_space_group_IT_number 12
_space_group_name_Hall '-C 2y'
loop_
_atom_site_label
_atom_site_fract_x
_atom_site_fract_y
_atom_site_fract_z
Mn1 0.000 0.160 0.000
Al1 0.000 0.000 0.500
Fe1 0.155 0.500 0.829
Fe2 0.164 0.332 0.335

Entry 7:
# SiSbP PBE optimized geometry
# Raw formation energy   0.158 eV/atom
# V   21.6 Å³ per atom
# Crystal system   tetragonal
data_SiSbP
_cell_length_a 3.228
_cell_length_b 3.228
_cell_length_c 12.457
_cell_angle_alpha 90.00
_cell_angle_beta 90.00
_cell_angle_gamma 90.00
_space_group_name_H-M_alt 'I 4 m m'
_space_group_IT_number 107
_space_group_name_Hall 'I 4 -2'
loop_
_atom_site_label
_atom_site_fract_x
_atom_site_fract_y
_atom_site_fract_z
Si1 0.000 0.000 0.000
Sb1 0.000 0.000 0.220
P1 0.000 0.000 0.449

Entry 8:
# Na3BiTe PBE optimized geometry
# Raw formation energy   -0.266 eV/atom
# V   40.4 Å³ per atom
# Crystal system   cubic
data_Na3BiTe
_cell_length_a 5.866
_cell_length_b 5.866
_cell_length_c 5.866
_cell_angle_alpha 90.00
_cell_angle_beta 90.00
_cell_angle_gamma 90.00
_space_group_name_H-M_alt 'P m -3 m'
_space_group_IT_number 221
_space_group_name_Hall '-P 4 2 3'
loop_
_atom_site_label
_atom_site_fract_x
_atom_site_fract_y
_atom_site_fract_z
Na1 0.000 0.000 0.500
Bi1 0.500 0.500 0.500
Te1 0.000 0.000 0.000

Entry 9:
# Er6BS12 PBE optimized geometry
# Raw formation energy   -1.377 eV/atom
# V   21.7 Å³ per atom
# Crystal system   trigonal
data_Er6BS12
_cell_length_a 11.4664
_cell_length_b 11.4664
_cell_length_c 10.8840
_cell_angle_alpha 90.00
_cell_angle_beta 90.00
_cell_angle_gamma 120.00
_space_group_name_H-M_alt 'R -3'
_space_group_IT_number 148
_space_group_name_Hall '-R 3'
loop_
_atom_site_label
_atom_site_fract_x
_atom_site_fract_y
_atom_site_fract_z
Er1 0.0539 0.4469 0.3165
B1 0.0000 0.0000 0.0000
S1 0.0406 0.2189 0.4002
S2 0.0566 0.1875 0.8917

Entry 10:
# Lu3NiBi PBE optimized geometry
# DFT total energy   -5.049 eV per atom
# V   26.8 Å³ per atom
# Crystal system   cubic
data_Lu3NiBi
_cell_length_a 5.115
_cell_length_b 5.115
_cell_length_c 5.115
_cell_angle_alpha 90.00
_cell_angle_beta 90.00
_cell_angle_gamma 90.00
_space_group_name_H-M_alt 'P m -3 m'
_space_group_IT_number 221
_space_group_name_Hall '-P 4 2 3'
loop_
_atom_site_label
_atom_site_fract_x
_atom_site_fract_y
_atom_site_fract_z
Lu1 0.000 0.000 0.500
Ni1 0.000 0.000 0.000
Bi1 0.500 0.500 0.500

Entry 11:
# YAl2 PBE optimized geometry
# DFT total energy   -5.010 eV per atom
# V   21.8 Å³ per atom
# Crystal system   orthorhombic
data_YAl2
_cell_length_a 3.975
_cell_length_b 5.865
_cell_length_c 11.231
_cell_angle_alpha 90.00
_cell_angle_beta 90.00
_cell_angle_gamma 90.00
_space_group_name_H-M_alt 'I m m m'
_space_group_IT_number 71
_space_group_name_Hall '-I 2 2'
loop_
_atom_site_label
_atom_site_fract_x
_atom_site_fract_y
_atom_site_fract_z
Y1 0.000 0.000 0.190
Al1 0.000 0.256 0.500
Al2 0.000 0.500 0.114

Entry 12:
# MgSc2Br PBE optimized geometry
# Raw formation energy   -0.284 eV/atom
# V   23.0 Å³ per atom
# Crystal system   tetragonal
data_MgSc2Br
_cell_length_a 3.302
_cell_length_b 3.302
_cell_length_c 8.419
_cell_angle_alpha 90.00
_cell_angle_beta 90.00
_cell_angle_gamma 90.00
_space_group_name_H-M_alt 'P 4/m m m'
_space_group_IT_number 123
_space_group_name_Hall '-P 4 2'
loop_
_atom_site_label
_atom_site_fract_x
_atom_site_fract_y
_atom_site_fract_z
Mg1 0.000 0.000 0.000
Sc1 0.500 0.500 0.258
Br1 0.000 0.000 0.500

Entry 13:
# Nd6Rh3Br2 PBE optimized geometry
# Raw formation energy   -0.869 eV/atom
# V   30.8 Å³ per atom
# Crystal system   monoclinic
data_Nd6Rh3Br2
_cell_length_a 7.165
_cell_length_b 12.427
_cell_length_c 7.976
_cell_angle_alpha 90.00
_cell_angle_beta 107.48
_cell_angle_gamma 90.00
_space_group_name_H-M_alt 'C 1 2/m 1'
_space_group_IT_number 12
_space_group_name_Hall '-C 2y'
loop_
_atom_site_label
_atom_site_fract_x
_atom_site_fract_y
_atom_site_fract_z
Nd1 0.230 0.000 0.199
Nd2 0.236 0.335 0.202
Rh1 0.000 0.170 0.000
Rh2 0.000 0.500 0.000
Br1 0.000 0.334 0.500

Entry 14:
# Zr2ScFe PBE optimized geometry
# DFT total energy   -8.058 eV per atom
# V   19.8 Å³ per atom
# Crystal system   orthorhombic
data_Zr2ScFe
_cell_length_a 3.298
_cell_length_b 4.928
_cell_length_c 9.723
_cell_angle_alpha 90.00
_cell_angle_beta 90.00
_cell_angle_gamma 90.00
_space_group_name_H-M_alt 'I m m m'
_space_group_IT_number 71
_space_group_name_Hall '-I 2 2'
loop_
_atom_site_label
_atom_site_fract_x
_atom_site_fract_y
_atom_site_fract_z
Zr1 0.000 0.000 0.204
Sc1 0.000 0.500 0.000
Fe1 0.000 0.500 0.500

Entry 15:
# BaTi3B4O12 PBE optimized geometry
# Raw formation energy   -2.680 eV/atom
# V   11.0 Å³ per atom
# Crystal system   trigonal
data_BaTi3B4O12
_cell_length_a 9.8222
_cell_length_b 9.8222
_cell_length_c 7.8999
_cell_angle_alpha 90.00
_cell_angle_beta 90.00
_cell_angle_gamma 120.00
_space_group_name_H-M_alt 'R 3 2'
_space_group_IT_number 155
_space_group_name_Hall 'R 3 2"'
loop_
_atom_site_label
_atom_site_fract_x
_atom_site_fract_y
_atom_site_fract_z
Ba1 0.0000 0.0000 0.0000
Ti1 0.0000 0.5570 0.0000
B1 0.0000 0.0000 0.5000
B2 0.0000 0.4370 0.5000
O1 0.0000 0.5804 0.5000
O2 0.0000 0.8576 0.5000
O3 0.0324 0.2286 0.2017

Entry 16:
# CuH2Cl6 PBE optimized geometry
# DFT total energy   -2.717 eV per atom
# V   30.6 Å³ per atom
# Crystal system   monoclinic
data_CuH2Cl6
_cell_length_a 13.019
_cell_length_b 10.791
_cell_length_c 7.863
_cell_angle_alpha 90.00
_cell_angle_beta 95.15
_cell_angle_gamma 90.00
_space_group_name_H-M_alt 'C 1 2/c 1'
_space_group_IT_number 15
_space_group_name_Hall '-C 2yc'
loop_
_atom_site_label
_atom_site_fract_x
_atom_site_fract_y
_atom_site_fract_z
Cu1 0.000 0.179 0.250
H1 0.097 0.377 0.931
Cl1 0.024 0.181 0.983
Cl2 0.145 0.473 0.878
Cl3 0.163 0.171 0.313

Entry 17:
# LuAg4Bi PBE optimized geometry
# DFT total energy   -3.443 eV per atom
# V   21.6 Å³ per atom
# Crystal system   cubic
data_LuAg4Bi
_cell_length_a 8.029
_cell_length_b 8.029
_cell_length_c 8.029
_cell_angle_alpha 90.00
_cell_angle_beta 90.00
_cell_angle_gamma 90.00
_space_group_name_H-M_alt 'F -4 3 m'
_space_group_IT_number 216
_space_group_name_Hall 'F -4 2 3'
loop_
_atom_site_label
_atom_site_fract_x
_atom_site_fract_y
_atom_site_fract_z
Lu1 0.000 0.000 0.000
Ag1 0.126 0.126 0.626
Bi1 0.250 0.250 0.250

Entry 18:
# Pm2MnN4 PBE optimized geometry
# Raw formation energy   -0.920 eV/atom
# V   13.6 Å³ per atom
# Crystal system   orthorhombic
data_Pm2MnN4
_cell_length_a 7.126
_cell_length_b 5.428
_cell_length_c 9.848
_cell_angle_alpha 90.00
_cell_angle_beta 90.00
_cell_angle_gamma 90.00
_space_group_name_H-M_alt 'P n m a'
_space_group_IT_number 62
_space_group_name_Hall '-P 2ac 2n'
loop_
_atom_site_label
_atom_site_fract_x
_atom_site_fract_y
_atom_site_fract_z
Pm1 0.010 0.250 0.188
Pm2 0.148 0.750 0.431
Mn1 0.221 0.750 0.077
N1 0.021 0.250 0.918
N2 0.182 0.505 0.649
N3 0.193 0.250 0.410

Entry 19:
# SrAcZnGe PBE optimized geometry
# DFT total energy   -3.316 eV per atom
# V   29.4 Å³ per atom
# Crystal system   cubic
data_SrAcZnGe
_cell_length_a 7.776
_cell_length_b 7.776
_cell_length_c 7.776
_cell_angle_alpha 90.00
_cell_angle_beta 90.00
_cell_angle_gamma 90.00
_space_group_name_H-M_alt 'F -4 3 m'
_space_group_IT_number 216
_space_group_name_Hall 'F -4 2 3'
loop_
_atom_site_label
_atom_site_fract_x
_atom_site_fract_y
_atom_site_fract_z
Sr1 0.000 0.000 0.000
Ac1 0.000 0.000 0.500
Zn1 0.250 0.250 0.250
Ge1 0.250 0.250 0.750

Entry 20:
# UCuPbSe4 PBE optimized geometry
# Raw formation energy   -0.667 eV/atom
# V   24.6 Å³ per atom
# Crystal system   monoclinic
data_UCuPbSe4
_cell_length_a 7.095
_cell_length_b 5.814
_cell_length_c 8.736
_cell_angle_alpha 90.00
_cell_angle_beta 107.29
_cell_angle_gamma 90.00
_space_group_name_H-M_alt 'P 1 21/m 1'
_space_group_IT_number 11
_space_group_name_Hall '-P 2yb'
loop_
_atom_site_label
_atom_site_fract_x
_atom_site_fract_y
_atom_site_fract_z
U1 0.236 0.250 0.443
Cu1 0.247 0.750 0.673
Pb1 0.221 0.250 0.948
Se1 0.066 0.750 0.868
Se2 0.068 0.750 0.396
Se3 0.478 0.510 0.277